VASP calculation (PBE) on a geometry-optimized CaSc2Br structure.

Lattice parameters (Å, degrees): 3.472 5.709 5.899 90.00 90.00 90.00
Atoms (fractional coordinates):
1 Ca 0.000 0.000 0.000
2 Sc 0.500 0.500 0.238
3 Sc 0.500 0.500 0.762
4 Br 0.000 0.000 0.500

## Properties
**Total magnetization**: 0.506 μB per formula unit
**Energy**: -4.111 eV per atom
**Energy above the most stable polymorph in this dataset**: 0.430 eV/atom